No. 1
Material: Mg4Sc5Tl2
Method: DFT, GGA-PBE
State: optimized geometry

Unit cell a=8.038 b=18.346 c=3.512 alpha=90.00 beta=90.00 gamma=90.00
Space group Pbam (No. 55)
One atom of each set of equivalent atoms:
Mg  0.088  0.145  0.000 x4
Mg  0.210  0.435  0.000 x4
Sc  0.000  0.000  0.500 x2
Sc  0.125  0.570  0.500 x4
Sc  0.228  0.793  0.500 x4
Tl  0.031  0.696  0.000 x4

Values from the calculation:
Fermi-level density of states   0.885 states/eV per atom
Magnetic moment   0.0000 μB/atom
Total energy   -0.1477 hartree per atom


No. 2
Material: Nb3Mo
Method: DFT, GGA-PBE
State: optimized geometry

Unit cell a=3.134 b=10.156 c=9.180 alpha=90.00 beta=90.00 gamma=90.00
Space group Cmcm (No. 63)
One atom of each set of equivalent atoms:
Nb  0.000  0.076  0.250 x4
Nb  0.000  0.371  0.028 x8
Mo  0.000  0.196  0.750 x4

Values from the calculation:
Fermi-level density of states   1.238 states/eV per atom
Magnetic moment   0.0000 μB/atom
Total energy   -0.3680 hartree per atom


No. 3
Material: NiOsRu2
Method: DFT, GGA-PBE
State: optimized geometry

Unit cell a=5.452 b=5.452 c=10.459 alpha=90.00 beta=90.00 gamma=90.00
Space group I-42d (No. 122)
One atom of each set of equivalent atoms:
Ni  0.000  0.000  0.000 x4
Os  0.000  0.000  0.500 x4
Ru  0.239  0.250  0.125 x8

Values from the calculation:
Fermi-level density of states   1.238 states/eV per atom
Magnetic moment   0.0000 μB/atom
Total energy   -0.2818 hartree per atom


No. 4
Material: K3Pu3GaS8
Method: DFT, GGA-PBE
State: optimized geometry

Unit cell a=7.9934 b=7.9934 c=22.2673 alpha=90.00 beta=90.00 gamma=120.00
Space group R-3m (No. 166, hexagonal axes)
One atom of each set of equivalent atoms:
K  0.0000  0.5000  0.0000 x9
Pu  0.0000  0.5000  0.5000 x9
Ga  0.0000  0.0000  0.5000 x3
S  0.0000  0.0000  0.2331 x6
S  0.0176  0.5088  0.2287 x18

Values from the calculation:
Fermi-level density of states   1.803 states/eV per atom
ΔE_f (raw)   -1.345 eV per atom
Magnetic moment   0.9331 μB/atom


No. 5
Material: Np2InSn
Method: DFT, GGA-PBE
State: optimized geometry

Unit cell a=3.194 b=3.194 c=9.727 alpha=90.00 beta=90.00 gamma=90.00
Space group P4/mmm (No. 123)
One atom of each set of equivalent atoms:
Np  0.000  0.000  0.247 x2
In  0.500  0.500  0.500 x1
Sn  0.500  0.500  0.000 x1

Values from the calculation:
Fermi-level density of states   2.917 states/eV per atom
Magnetic moment   2.2602 μB/atom
Total energy   -0.2964 hartree per atom


No. 6
Material: BeSi2Pb
Method: DFT, GGA-PBE
State: optimized geometry

Unit cell a=3.171 b=3.171 c=7.169 alpha=90.00 beta=90.00 gamma=90.00
Space group P4/mmm (No. 123)
One atom of each set of equivalent atoms:
Be  0.000  0.000  0.000 x1
Si  0.500  0.500  0.169 x2
Pb  0.000  0.000  0.500 x1

Values from the calculation:
Fermi-level density of states   0.304 states/eV per atom
ΔE_f (raw)   0.535 eV per atom
Magnetic moment   0.0000 μB/atom


No. 7
Material: NdDy5Y3
Method: DFT, GGA-PBE
State: optimized geometry

Unit cell a=16.822 b=7.992 c=12.303 alpha=90.00 beta=130.61 gamma=90.00
Space group C2/m (No. 12)
One atom of each set of equivalent atoms:
Nd  0.236  0.000  0.127 x4
Dy  0.000  0.320  0.000 x4
Dy  0.064  0.206  0.780 x8
Dy  0.123  0.000  0.565 x4
Dy  0.201  0.500  0.072 x4
Y  0.000  0.000  0.000 x2
Y  0.000  0.500  0.500 x2
Y  0.120  0.500  0.313 x4
Y  0.177  0.000  0.342 x4

Values from the calculation:
Fermi-level density of states   1.532 states/eV per atom
Magnetic moment   0.0000 μB/atom
Total energy   -0.1774 hartree per atom


No. 8
Material: Ca3Cd
Method: DFT, GGA-PBE
State: optimized geometry

Unit cell a=5.102 b=5.102 c=10.557 alpha=90.00 beta=90.00 gamma=90.00
Space group I4/mmm (No. 139)
One atom of each set of equivalent atoms:
Ca  0.000  0.000  0.000 x2
Ca  0.000  0.500  0.250 x4
Cd  0.000  0.000  0.500 x2

Values from the calculation:
Fermi-level density of states   1.129 states/eV per atom
Magnetic moment   0.0001 μB/atom
Total energy   -0.0669 hartree per atom


No. 9
Material: NdTeF
Method: DFT, GGA-PBE
State: optimized geometry

Unit cell a=4.211 b=4.211 c=7.659 alpha=90.00 beta=90.00 gamma=90.00
Space group P4/nmm (No. 129, origin choice 2)
One atom of each set of equivalent atoms:
Nd  0.250  0.250  0.199 x2
Te  0.250  0.250  0.640 x2
F  0.250  0.750  0.000 x2

Values from the calculation:
Fermi-level density of states   0.013 states/eV per atom
ΔE_f (raw)   -2.595 eV per atom
Magnetic moment   0.0000 μB/atom


No. 10
Material: Ca2Br
Method: DFT, GGA-PBE
State: optimized geometry

Unit cell a=3.827 b=4.046 c=14.821 alpha=90.00 beta=90.00 gamma=90.00
Space group Immm (No. 71)
One atom of each set of equivalent atoms:
Ca  0.000  0.000  0.159 x4
Br  0.000  0.500  0.500 x2

Values from the calculation:
Fermi-level density of states   0.908 states/eV per atom
ΔE_f (raw)   -0.845 eV per atom
Magnetic moment   0.0005 μB/atom


No. 11
Material: CrTe2Rh
Method: DFT, GGA-PBE
State: optimized geometry

Unit cell a=7.021 b=4.041 c=6.596 alpha=90.00 beta=110.65 gamma=90.00
Space group C2/m (No. 12)
One atom of each set of equivalent atoms:
Cr  0.000  0.000  0.000 x2
Te  0.244  0.000  0.732 x4
Rh  0.000  0.500  0.500 x2

Values from the calculation:
Fermi-level density of states   0.689 states/eV per atom
ΔE_f (raw)   -0.001 eV per atom
Magnetic moment   1.1343 μB/atom


No. 12
Material: CePr2Tm6
Method: DFT, GGA-PBE
State: optimized geometry

Unit cell a=9.6918 b=9.6918 c=3.5034 alpha=90.00 beta=90.00 gamma=120.00
Space group P-3 (No. 147)
One atom of each set of equivalent atoms:
Ce  0.0000  0.0000  0.0000 x1
Pr  0.3333  0.6667  0.7648 x2
Tm  0.0214  0.6740  0.2706 x6

Values from the calculation:
Fermi-level density of states   2.078 states/eV per atom
Magnetic moment   0.1822 μB/atom
Total energy   -0.1690 hartree per atom


Which value of magnetic moment does entry 12 give?
0.1822 μB/atom


Which value of magnetic moment does entry 12 give?
0.1822 μB/atom